1.
Material: IrPtSe3
Method: DFT, PBE
State: relaxed

Properties
- energy above the most stable polymorph in this dataset (meV per atom) = 0
- space group = No. 221
- E_form (uncorrected) (eV per atom) = 0.970

abc: 4.8534 4.8534 4.8534
angles: 90.00 90.00 90.00
Last column: nearest neighbours and their distance in Å.
Fractional positions:
Ir: 0.0000 0.0000 0.0000  6 Se 2.43
Se: 0.0000 0.5000 0.0000  2 Ir 2.43
Se: 0.0000 0.0000 0.5000  2 Ir 2.43
Se: 0.5000 0.0000 0.0000  2 Ir 2.43
Pt: 0.5000 0.5000 0.5000  12 Se 3.43

2.
Material: KHgPt2
Method: DFT, PBE
State: relaxed

Properties
- space group = No. 123
- calculated formation energy (meV/atom) = 156

abc: 3.0009 3.0009 9.1185
angles: 90.00 90.00 90.01
Last column: nearest neighbours and their distance in Å.
Fractional positions:
Hg: 0.5000 0.5000 0.2500  8 Pt 2.90, 4 Hg 3.00
K: 0.5000 0.5000 0.7500  4 K 3.00, 8 Pt 3.35
Pt: 0.0000 0.0000 0.0337  4 Hg 2.90, 4 Pt 3.00
Pt: 0.0000 0.0000 0.4663  4 Hg 2.90, 4 Pt 3.00

3.
Material: Ta2TiGaN
Method: DFT, PBE
State: relaxed

Properties
- space group = No. 123
- E_form (uncorrected) (eV per atom) = -0.519

abc: 4.1616 4.1616 4.3371
angles: 90.00 90.00 90.00
Last column: nearest neighbours and their distance in Å.
Fractional positions:
N: 0.0000 0.0000 0.0000  4 Ta 2.08, 2 Ti 2.17
Ti: 0.0000 0.0000 0.5000  2 N 2.17
Ga: 0.5000 0.5000 0.5000  4 Ti 2.94, 8 Ta 3.01
Ta: 0.0000 0.5000 0.0000  2 N 2.08
Ta: 0.5000 0.0000 0.0000  2 N 2.08

4.
Material: CoRe4Cl
Method: DFT, PBE
State: relaxed

Properties
- space group = No. 216
- E_form (uncorrected) (eV per atom) = 1.262

abc: 5.2018 5.2018 5.2018
angles: 60.00 60.00 60.00
Last column: nearest neighbours and their distance in Å.
Fractional positions:
Co: 0.0000 0.0000 0.0000  12 Re 3.05, 4 Cl 3.19
Re: 0.6247 0.6247 0.1260  6 Re 2.59-2.61
Re: 0.6247 0.1260 0.6247  6 Re 2.59-2.61
Re: 0.6247 0.6247 0.6247  6 Re 2.59-2.61
Re: 0.1260 0.6247 0.6247  6 Re 2.59-2.61
Cl: 0.2500 0.2500 0.2500  12 Re 3.05, 4 Co 3.19

| no. | E_tot (eV for the cell shown) |
| --- | --- |
| 1 | -20.504 |
| 2 | -12.856 |
| 3 | -45.550 |
| 4 | -51.171 |